Density functional theory data (PBE) for a geometry-optimized Eu2CuBi structure.

abc: 4.078 5.347 5.347
angles: 90.00 90.00 90.00
Site moments in Bohr magnetons follow the coordinates.
Fractional coordinates of all 4 atoms:
Eu1 0.000 0.000 0.500  6.84
Eu2 0.000 0.500 0.000  6.84
Bi1 0.500 0.500 0.500  -0.11
Cu1 0.500 0.000 0.000  -0.03

## Properties
energy of formation from the pure elements = -435 meV per atom
SG = P4/mmm, No. 123



Density functional theory data (PBE) for a geometry-optimized EuCuHgBi structure.

abc: 5.234 5.234 5.234
angles: 60.00 60.00 60.00
Site moments in Bohr magnetons follow the coordinates.
Fractional coordinates of all 4 atoms:
Eu1 0.500 0.500 0.500  -6.85
Bi1 0.000 0.000 0.000  0.02
Cu1 0.250 0.250 0.250  0.01
Hg1 0.750 0.750 0.750  -0.01

## Properties
energy of formation from the pure elements = -227 meV per atom
SG = F-43m, No. 216



Density functional theory data (PBE) for a geometry-optimized Sr2EuCu2Bi2O8 structure.

abc: 3.795 3.795 15.844
angles: 96.88 96.88 90.00
Site moments in Bohr magnetons follow the coordinates.
Fractional coordinates of all 15 atoms:
Sr1 0.887 0.887 0.774  0.00
Sr2 0.113 0.113 0.226  0.00
Eu1 0.000 0.000 0.000  6.44
Cu1 0.553 0.553 0.106  -0.11
Cu2 0.447 0.447 0.894  -0.11
Bi1 0.702 0.702 0.405  0.00
Bi2 0.298 0.298 0.595  0.00
O1 0.448 0.948 0.896  -0.06
O2 0.552 0.052 0.104  -0.06
O3 0.948 0.448 0.896  -0.06
O4 0.052 0.552 0.104  -0.06
O5 0.799 0.799 0.598  0.00
O6 0.201 0.201 0.402  0.00
O7 0.635 0.635 0.270  0.00
O8 0.365 0.365 0.730  0.00

## Properties
E_tot = -6.28 eV/atom
SG = I4/mmm, No. 139



Density functional theory data (PBE) for a geometry-optimized SrEuCuBiO6 structure.

abc: 5.769 5.769 5.769
angles: 60.00 60.00 60.00
Site moments in Bohr magnetons follow the coordinates.
Fractional coordinates of all 10 atoms:
Sr1 0.750 0.750 0.750  0.00
Eu1 0.250 0.250 0.250  6.59
Cu1 0.500 0.500 0.500  -0.17
Bi1 0.000 0.000 0.000  -0.01
O1 0.260 0.740 0.260  -0.04
O2 0.740 0.260 0.740  -0.04
O3 0.260 0.740 0.740  -0.04
O4 0.740 0.260 0.260  -0.04
O5 0.260 0.260 0.740  -0.04
O6 0.740 0.740 0.260  -0.04

## Properties
E_tot = -6.54 eV/atom
SG = F-43m, No. 216



V readings, ordered: 29.15, 25.34, 14.99, 13.58 Å³ per atom